Version w
Density functional theory data (meta-GGA SCAN) for a PBEsol-optimized structure of IrRh2Br.

Unit cell a=2.730 b=4.865 c=9.151 alpha=90.00 beta=90.00 gamma=90.00
Space group Cmmm (No. 65)
Unique sites:
Ir: 0.000 0.000 0.000 [2 per cell]
Rh: 0.000 0.500 0.244 [4 per cell]
Br: 0.000 0.000 0.500 [2 per cell]

Calculated values
The value obtained for the density of states at the Fermi level is 1.160 states/eV/atom.



Version x
Density functional theory data (meta-GGA SCAN) for a PBEsol-optimized structure of IrRh2Br.

Unit cell a=6.219 b=6.219 c=6.219 alpha=90.00 beta=90.00 gamma=90.00
Space group Fm-3m (No. 225)
Unique sites:
Ir: 0.000 0.000 0.000 [4 per cell]
Rh: 0.250 0.250 0.250 [8 per cell]
Br: 0.000 0.000 0.500 [4 per cell]

Calculated values
The value obtained for the density of states at the Fermi level is 0.965 states/eV/atom.



The structure with the least stability is version x.



Version w
Density functional theory data (meta-GGA SCAN) for a PBEsol-optimized structure of PPtCl2.

Unit cell a=6.411 b=3.512 c=7.700 alpha=90.00 beta=94.31 gamma=90.00
Space group Cm (No. 8)
Unique sites:
P: 0.000 0.000 0.000 [2 per cell]
Pt: 0.178 0.500 0.124 [2 per cell]
Cl: 0.249 0.000 0.353 [2 per cell]
Cl: 0.472 0.500 0.737 [2 per cell]

Calculated values
The value obtained for the density of states at the Fermi level is 0.228 states/eV/atom.



Version x
Density functional theory data (meta-GGA SCAN) for a PBEsol-optimized structure of PPtCl2.

Unit cell a=6.382 b=6.382 c=6.382 alpha=90.00 beta=90.00 gamma=90.00
Space group Fm-3m (No. 225)
Unique sites:
P: 0.000 0.000 0.000 [4 per cell]
Pt: 0.000 0.000 0.500 [4 per cell]
Cl: 0.250 0.250 0.250 [8 per cell]

Calculated values
The value obtained for the density of states at the Fermi level is 0.372 states/eV/atom.



The structure with the least stability is version x.



Version w
Density functional theory data (meta-GGA SCAN) for a PBEsol-optimized structure of CaCuRe2.

Unit cell a=3.220 b=4.367 c=9.057 alpha=90.00 beta=90.00 gamma=90.00
Space group Cmm2 (No. 35)
Unique sites:
Ca: 0.000 0.000 0.000 [2 per cell]
Cu: 0.000 0.500 0.732 [2 per cell]
Re: 0.000 0.000 0.510 [2 per cell]
Re: 0.000 0.500 0.281 [2 per cell]

Calculated values
The value obtained for the density of states at the Fermi level is 0.620 states/eV/atom.



Version x
Density functional theory data (meta-GGA SCAN) for a PBEsol-optimized structure of CaCuRe2.

Unit cell a=2.731 b=4.571 c=10.262 alpha=90.00 beta=90.00 gamma=90.00
Space group Immm (No. 71)
Unique sites:
Ca: 0.000 0.000 0.000 [2 per cell]
Cu: 0.000 0.000 0.500 [2 per cell]
Re: 0.000 0.500 0.219 [4 per cell]

Calculated values
The value obtained for the density of states at the Fermi level is 0.605 states/eV/atom.



The structure with the least stability is version w.



Version w
Density functional theory data (meta-GGA SCAN) for a PBEsol-optimized structure of MnZn2Os.

Unit cell a=3.274 b=4.049 c=8.000 alpha=90.00 beta=90.00 gamma=90.00
Space group Immm (No. 71)
Unique sites:
Mn: 0.000 0.000 0.000 [2 per cell]
Zn: 0.000 0.500 0.254 [4 per cell]
Os: 0.000 0.000 0.500 [2 per cell]

Calculated values
The value obtained for the density of states at the Fermi level is 0.304 states/eV/atom.



Version x
Density functional theory data (meta-GGA SCAN) for a PBEsol-optimized structure of MnZn2Os.

Unit cell a=2.757 b=2.757 c=6.732 alpha=90.00 beta=90.00 gamma=90.00
Space group P4mm (No. 99)
Unique sites:
Mn: 0.000 0.000 0.000 [1 per cell]
Zn: 0.000 0.000 0.495 [1 per cell]
Zn: 0.500 0.500 0.757 [1 per cell]
Os: 0.500 0.500 0.221 [1 per cell]

Calculated values
The value obtained for the density of states at the Fermi level is 0.396 states/eV/atom.



The structure with the least stability is version x.



Version w
Density functional theory data (meta-GGA SCAN) for a PBEsol-optimized structure of AgP2Cl.

Unit cell a=3.767 b=3.767 c=5.567 alpha=90.00 beta=90.00 gamma=90.00
Space group P4/mmm (No. 123)
Unique sites:
Ag: 0.000 0.000 0.000 [1 per cell]
P: 0.500 0.500 0.180 [2 per cell]
Cl: 0.000 0.000 0.500 [1 per cell]

Calculated values
The value obtained for the density of states at the Fermi level is 0.150 states/eV/atom.



Version x
Density functional theory data (meta-GGA SCAN) for a PBEsol-optimized structure of AgP2Cl.

Unit cell a=4.612 b=3.253 c=6.181 alpha=90.00 beta=107.05 gamma=90.00
Space group Pm (No. 6)
Unique sites:
Ag: 0.000 0.000 0.000 [1 per cell]
P: 0.442 0.000 0.866 [1 per cell]
P: 0.500 0.500 0.645 [1 per cell]
Cl: 0.060 0.500 0.376 [1 per cell]



The structure with the least stability is version w.



Version w
Density functional theory data (meta-GGA SCAN) for a PBEsol-optimized structure of Ca2CrW.

Unit cell a=7.978 b=3.124 c=7.870 alpha=90.00 beta=94.25 gamma=90.00
Space group Cm (No. 8)
Unique sites:
Ca: 0.000 0.000 0.000 [2 per cell]
Ca: 0.220 0.000 0.602 [2 per cell]
Cr: 0.475 0.000 0.349 [2 per cell]
W: 0.252 0.500 0.256 [2 per cell]

Calculated values
The value obtained for the density of states at the Fermi level is 0.610 states/eV/atom.



Version x
Density functional theory data (meta-GGA SCAN) for a PBEsol-optimized structure of Ca2CrW.

Unit cell a=2.730 b=5.074 c=5.409 alpha=90.00 beta=90.19 gamma=90.00
Space group P2/m (No. 10)
Unique sites:
Ca: 0.001 0.000 0.252 [2 per cell]
Cr: 0.500 0.500 0.500 [1 per cell]
W: 0.500 0.500 0.000 [1 per cell]

Calculated values
The value obtained for the density of states at the Fermi level is 0.701 states/eV/atom.



The structure with the least stability is version x.